Record 1
Entry from the Alexandria database: a relaxed NaAg2PtCl8 crystal (PBE).

The structure belongs to space group P2/m (No. 10); the cell edges are 6.5625, 7.7915 and 6.7860 Å and the angles 90.00°, 115.31° and 90.00°. Symmetry generates all atoms from Na at (0.0000, 0.0000, 0.0000), Ag at (0.0000, 0.2299, 0.5000), Pt at (0.0000, 0.5000, 0.0000), Cl at (0.1920, 0.5000, 0.7768), Cl at (0.2440, 0.2892, 0.2272) and Cl at (0.2528, 0.0000, 0.7514).

The total energy comes out at -35.6 eV/cell.

Record 2
Entry from the Alexandria database: a relaxed NaAg2PtCl6 crystal (PBE).

The structure belongs to space group P1 (No. 1); the cell edges are 6.6533, 6.8629 and 6.9454 Å and the angles 89.70°, 62.83° and 63.36°. Symmetry generates all atoms from Na at (0.0000, 0.0000, 0.0000), Ag at (0.5540, 0.7468, 0.1874), Ag at (0.5707, 0.1920, 0.6304), Pt at (0.9824, 0.5109, 0.5329), Cl at (0.1132, 0.5862, 0.7726), Cl at (0.1210, 0.7345, 0.3091), Cl at (0.4696, 0.1446, 0.3043), Cl at (0.5188, 0.8710, 0.8046), Cl at (0.8248, 0.3002, 0.7633) and Cl at (0.8490, 0.4239, 0.3004).

The total energy comes out at -30.7 eV/cell.

Record 3
Entry from the Alexandria database: a relaxed NaPuAgCl6 crystal (PBE).

The structure belongs to space group P-31c (No. 163); the cell edges are 6.8874, 6.8874 and 12.0554 Å and the angles 90.00°, 90.00° and 120.00°. Symmetry generates all atoms from Na at (0.3333, 0.6667, 0.2500), Pu at (0.3333, 0.6667, 0.7500), Ag at (0.0000, 0.0000, 0.0000) and Cl at (0.0245, 0.3515, 0.6266).

The total energy comes out at -84.9 eV/cell.

Record 4
Entry from the Alexandria database: a relaxed NaPuAgCl5 crystal (PBE).

The structure belongs to space group C2/c (No. 15); the cell edges are 8.0340, 12.9927 and 10.0083 Å and the angles 90.00°, 109.56° and 90.00°. Symmetry generates all atoms from Na at (0.0000, 0.0741, 0.2500), Pu at (0.0000, 0.5000, 0.0000), Ag at (0.0000, 0.2147, 0.7500), Cl at (0.0000, 0.4157, 0.2500), Cl at (0.1689, 0.0801, 0.9470) and Cl at (0.1789, 0.3325, 0.6392).

The total energy comes out at -158.7 eV/cell.

Respective formation energy without anion corrections values: -7.76 -6.52 -12.88 -11.94 eV per formula unit.
Respective density values: 3.8 4.4 3.9 3.7 g/cm³.
Respective total magnetization values: 0.11 1.01 4.00 5.00 μB per formula unit.